Entry 1:
A plane-wave DFT calculation with GGA-PBE was carried out for an optimized crystal structure of Rb3BI6.

Lattice parameters (Å, degrees): 9.2296 9.2296 8.6016 57.55 57.55 90.00
Fractional coordinates of all 10 atoms:
I (0.3102, 0.3102, 0.3796)
I (0.2646, 0.2646, 0.0000)
Rb (0.2500, 0.7500, 0.5000)
Rb (0.7500, 0.2500, 0.5000)
Rb (0.0000, 0.0000, 0.0000)
I (0.7354, 0.7354, 0.0000)
I (0.7354, 0.2646, 0.0000)
I (0.6898, 0.6898, 0.6204)
B (0.5000, 0.5000, 0.0000)
I (0.2646, 0.7354, 0.0000)

Summary:
The calculation puts the volume at 477.3 Å³/cell. For the distance to the lowest polymorph of the same formula, the calculation gives 288 kJ/mol of formula units. For the formation energy (no corrections), the calculation gives -0.57 eV per atom. The value obtained for the density of states at the Fermi level is 0.000 states/eV per atom.



Entry 2:
A plane-wave DFT calculation with GGA-PBE was carried out for an optimized crystal structure of RbBI2.

Lattice parameters (Å, degrees): 7.2387 7.2387 8.4987 64.79 64.79 90.00
Fractional coordinates of all 8 atoms:
I (0.4852, 0.1250, 0.2500)
Rb (0.0000, 0.0000, 0.0000)
B (0.5000, 0.5000, 0.0000)
Rb (0.7500, 0.2500, 0.5000)
B (0.2500, 0.7500, 0.5000)
I (0.8750, 0.7352, 0.7500)
I (0.2648, 0.6250, 0.2500)
I (0.3750, 0.5148, 0.7500)

Summary:
The calculation puts the volume at 355.5 Å³/cell. For the distance to the lowest polymorph of the same formula, the calculation gives 0 kJ/mol of formula units. For the formation energy (no corrections), the calculation gives 0.15 eV per atom. The value obtained for the density of states at the Fermi level is 0.047 states/eV per atom.



Question: Look up the volume of the first one.
Answer: 477.3 Å³/cell



Question: Which of these has the lowest volume?
Answer: RbBI2



Repeat the second record exactly.
A plane-wave DFT calculation with GGA-PBE was carried out for an optimized crystal structure of RbBI2.

Lattice parameters (Å, degrees): 7.2387 7.2387 8.4987 64.79 64.79 90.00
Fractional coordinates of all 8 atoms:
I (0.4852, 0.1250, 0.2500)
Rb (0.0000, 0.0000, 0.0000)
B (0.5000, 0.5000, 0.0000)
Rb (0.7500, 0.2500, 0.5000)
B (0.2500, 0.7500, 0.5000)
I (0.8750, 0.7352, 0.7500)
I (0.2648, 0.6250, 0.2500)
I (0.3750, 0.5148, 0.7500)

Summary:
The calculation puts the volume at 355.5 Å³/cell. For the distance to the lowest polymorph of the same formula, the calculation gives 0 kJ/mol of formula units. For the formation energy (no corrections), the calculation gives 0.15 eV per atom. The value obtained for the density of states at the Fermi level is 0.047 states/eV per atom.



Question: What is the distance to the lowest polymorph of the same formula in the first record?
Answer: 288 kJ/mol of formula units